i) A plane-wave DFT calculation with PBE was carried out for an optimized crystal structure of Pr5Sm3Dy.

a = 20.5398 Å, b = 6.3488 Å, c = 11.8224 Å
α = 90.00°, β = 122.69°, γ = 90.00°
Space group C2/c (No. 15)
Asymmetric unit:
Pr (0.0000, 0.0809, 0.2500) (multiplicity 4)
Pr (0.1391, 0.1780, 0.6558) (multiplicity 8)
Pr (0.1788, 0.3126, 0.3328) (multiplicity 8)
Sm (0.0000, 0.5000, 0.0000) (multiplicity 4)
Sm (0.1762, 0.2736, 0.0256) (multiplicity 8)
Dy (0.0000, 0.4062, 0.7500) (multiplicity 4)

=====

ii) A plane-wave DFT calculation with PBE was carried out for an optimized crystal structure of Pr5Sm3Dy.

a = 17.4784 Å, b = 8.2473 Å, c = 9.6803 Å
α = 90.00°, β = 104.70°, γ = 90.00°
Space group C2/m (No. 12)
Asymmetric unit:
Pr (0.0000, 0.1752, 0.0000) (multiplicity 4)
Pr (0.0026, 0.0000, 0.6723) (multiplicity 4)
Pr (0.1632, 0.2163, 0.5729) (multiplicity 8)
Pr (0.1911, 0.0000, 0.9130) (multiplicity 4)
Sm (0.0000, 0.5000, 0.0000) (multiplicity 2)
Sm (0.0000, 0.5000, 0.5000) (multiplicity 2)
Sm (0.1509, 0.5000, 0.2759) (multiplicity 4)
Sm (0.1876, 0.0000, 0.2626) (multiplicity 4)
Dy (0.1289, 0.5000, 0.8377) (multiplicity 4)

=====

Energies relative to the most stable structure are i) 0; ii) 141, reported in meV per atom.

=====

i) A plane-wave DFT calculation with PBE was carried out for an optimized crystal structure of PrSm5Dy.

a = 11.9620 Å, b = 6.8967 Å, c = 12.3687 Å
α = 90.00°, β = 110.54°, γ = 90.00°
Space group C2/c (No. 15)
Asymmetric unit:
Pr (0.2500, 0.2500, 0.0000) (multiplicity 4)
Sm (0.0000, 0.0800, 0.7500) (multiplicity 4)
Sm (0.0771, 0.2327, 0.5005) (multiplicity 8)
Sm (0.2195, 0.1361, 0.2504) (multiplicity 8)
Dy (0.0000, 0.4742, 0.2500) (multiplicity 4)

=====

ii) A plane-wave DFT calculation with PBE was carried out for an optimized crystal structure of PrSm5Dy.

a = 8.0144 Å, b = 11.7898 Å, c = 6.2662 Å
α = 90.00°, β = 90.00°, γ = 90.00°
Space group Imm2 (No. 44)
Asymmetric unit:
Pr (0.0000, 0.0000, 0.0000) (multiplicity 2)
Sm (0.0000, 0.2526, 0.0050) (multiplicity 4)
Sm (0.0000, 0.5000, 0.7366) (multiplicity 2)
Sm (0.1801, 0.0000, 0.5016) (multiplicity 4)
Dy (0.0000, 0.5000, 0.2650) (multiplicity 2)

=====

Energies relative to the most stable structure are i) 0; ii) 702, reported in meV per atom.

=====

i) A plane-wave DFT calculation with PBE was carried out for an optimized crystal structure of PrSm3Dy3.

a = 9.9958 Å, b = 9.9958 Å, c = 8.2167 Å
α = 90.00°, β = 90.00°, γ = 120.00°
Space group R3m (No. 160, hexagonal axes)
Asymmetric unit:
Pr (0.0000, 0.0000, 0.0000) (multiplicity 3)
Sm (0.0932, 0.5466, 0.9600) (multiplicity 9)
Dy (0.0655, 0.5328, 0.3888) (multiplicity 9)

=====

ii) A plane-wave DFT calculation with PBE was carried out for an optimized crystal structure of PrSm3Dy3.

a = 8.7246 Å, b = 8.7246 Å, c = 22.0569 Å
α = 90.00°, β = 90.00°, γ = 120.00°
Space group R-3 (No. 148, hexagonal axes)
Asymmetric unit:
Pr (0.0000, 0.0000, 0.1526) (multiplicity 6)
Sm (0.0518, 0.6035, 0.3805) (multiplicity 18)
Dy (0.0042, 0.7727, 0.5587) (multiplicity 18)

=====

Energies relative to the most stable structure are i) 25; ii) 0, reported in meV per atom.